A relaxed structure of ScFeBr, computed with PBEsol.

**Magnetization**: 0.0 μB/f.u.
**Energy relative to the elements, uncorrected**: -0.127 eV/atom

Cell: 4.0320 4.0320 3.2559 Å, 90.00 90.00 120.00°
Space group P-6m2 (No. 187)
Symmetry-distinct sites (fractional):
Sc (0.0000, 0.0000, 0.0000) (multiplicity 1)
Fe (0.3333, 0.6667, 0.5000) (multiplicity 1)
Br (0.6667, 0.3333, 0.5000) (multiplicity 1)